Below is a relaxed structure of BPdS2, with properties calculated at the PBE level.

Size of the total moment, μB/cell: 0.00
Volume, Å³ per atom: 20.3
Raw formation energy, eV per atom: -0.095
Theoretical density, g/cm3: 3.70

Geometry as CIF:
```
data_BPdS2
_symmetry_space_group_name_H-M 'P 1'
_symmetry_Int_Tables_number 1
_symmetry_space_group_name_Hall 'P 1'
_cell_length_a 11.659
_cell_length_b 11.659
_cell_length_c 4.007
_cell_angle_alpha 90.25
_cell_angle_beta 90.25
_cell_angle_gamma 17.37
loop_
_atom_site_label
_atom_site_fract_x
_atom_site_fract_y
_atom_site_fract_z
B1 0.132 0.132 0.469
B2 0.868 0.868 0.531
Pd1 0.368 0.368 0.902
Pd2 0.632 0.632 0.098
S1 0.080 0.080 0.785
S2 0.203 0.203 0.309
S3 0.797 0.797 0.691
S4 0.920 0.920 0.215
```

***

Below is a relaxed structure of PrPuAlGa, with properties calculated at the PBE level.

Size of the total moment, μB/cell: 5.57
Volume, Å³ per atom: 24.7
DFT total energy, eV/atom: -6.7253
Theoretical density, g/cm3: 8.09

Geometry as CIF:
```
data_PrPuAlGa
_symmetry_space_group_name_H-M 'P 1'
_symmetry_Int_Tables_number 1
_symmetry_space_group_name_Hall 'P 1'
_cell_length_a 5.191
_cell_length_b 5.191
_cell_length_c 5.191
_cell_angle_alpha 60.00
_cell_angle_beta 60.00
_cell_angle_gamma 60.00
loop_
_atom_site_label
_atom_site_fract_x
_atom_site_fract_y
_atom_site_fract_z
Pr1 0.000 0.000 0.000
Pu1 0.500 0.500 0.500
Al1 0.250 0.250 0.250
Ga1 0.750 0.750 0.750
```